Entry 1:
The following is a GGA-PBE calculation of a relaxed HfCdFePb crystal, from OQMD via LeMat-Bulk.

Cell: 6.8202 6.8202 6.8202 Å, 90.00 90.00 90.00°
Last column: nearest neighbours and their distance in Å.
Space group F-43m (No. 216)
Asymmetric unit:
1 Hf 0.0000 0.0000 0.0000 (multiplicity 4)  4 Cd 2.95, 4 Fe 2.95
2 Cd 0.2500 0.2500 0.2500 (multiplicity 4)  4 Hf 2.95, 4 Pb 2.95
3 Fe 0.2500 0.2500 0.7500 (multiplicity 4)  4 Hf 2.95, 4 Pb 2.95
4 Pb 0.0000 0.0000 0.5000 (multiplicity 4)  4 Fe 2.95, 4 Cd 2.95

Results
V = 317.2 Å³/cell
VASP energy = -5.311 eV/atom
Total magnetization = 1.52 μB per formula unit



Entry 2:
The following is a GGA-PBE calculation of a relaxed AcTlPd crystal, from OQMD via LeMat-Bulk.

Cell: 7.3788 7.3788 7.3788 Å, 90.00 90.00 90.00°
Last column: nearest neighbours and their distance in Å.
Space group F-43m (No. 216)
Asymmetric unit:
1 Ac 0.0000 0.0000 0.0000 (multiplicity 4)  4 Tl 3.20, 4 Pd 3.20
2 Tl 0.2500 0.2500 0.2500 (multiplicity 4)  4 Ac 3.20
3 Pd 0.2500 0.2500 0.7500 (multiplicity 4)  4 Ac 3.20

Results
V = 401.8 Å³/cell
VASP energy = -3.872 eV/atom
Total magnetization = 0.00 μB per formula unit



Entry 3:
The following is a GGA-PBE calculation of a relaxed PrMgCdP2 crystal, from OQMD via LeMat-Bulk.

Cell: 4.2825 4.2825 7.0347 Å, 90.00 90.00 120.00°
Last column: nearest neighbours and their distance in Å.
Space group P3m1 (No. 156)
Asymmetric unit:
1 Pr 0.0000 0.0000 0.0000 (multiplicity 1)  6 P 3.02-3.07
2 Mg 0.3333 0.6667 0.3606 (multiplicity 1)  4 P 2.60-2.67
3 Cd 0.6667 0.3333 0.6340 (multiplicity 1)  4 P 2.58-2.73
4 P 0.3333 0.6667 0.7409 (multiplicity 1)  3 Cd 2.58, 1 Mg 2.67
5 P 0.6667 0.3333 0.2459 (multiplicity 1)  3 Mg 2.60, 1 Cd 2.73

Results
V = 111.7 Å³/cell
VASP energy = -4.353 eV/atom
Total magnetization = 0.00 μB per formula unit



Entry 4:
The following is a GGA-PBE calculation of a relaxed Zn2Ge crystal, from OQMD via LeMat-Bulk.

Cell: 2.9760 14.3465 4.7630 Å, 90.00 90.00 90.00°
Last column: nearest neighbours and their distance in Å.
Space group Cmcm (No. 63)
Asymmetric unit:
1 Zn 0.0000 0.0577 0.2500 (multiplicity 4)  6 Zn 2.78-2.98, 6 Ge 2.86-2.92
2 Zn 0.0000 0.2787 0.7500 (multiplicity 4)  8 Zn 2.78-2.98, 4 Ge 2.81-2.85
3 Ge 0.0000 0.3875 0.2500 (multiplicity 4)  10 Zn 2.81-2.92, 2 Ge 2.98

Results
V = 203.4 Å³/cell
VASP energy = -2.212 eV/atom



Entry 5:
The following is a GGA-PBE calculation of a relaxed AgIrNO crystal, from OQMD via LeMat-Bulk.

Cell: 3.0253 5.6652 6.7261 Å, 90.00 90.00 90.00°
Last column: nearest neighbours and their distance in Å.
Space group Pmc2_1 (No. 26)
Asymmetric unit:
1 Ag 0.0000 0.1733 0.0000 (multiplicity 2)  1 O 2.23
2 Ir 0.5000 0.4111 0.5350 (multiplicity 2)  2 N 1.83-1.87, 2 O 2.05
3 N 0.5000 0.4021 0.2634 (multiplicity 2)  2 Ir 1.83-1.87
4 O 0.0000 0.1922 0.6241 (multiplicity 2)  2 Ir 2.05, 1 Ag 2.23

Results
V = 115.3 Å³/cell
VASP energy = -5.893 eV/atom
Total magnetization = 0.00 μB per formula unit



Entry 6:
The following is a GGA-PBE calculation of a relaxed CuTeH4S4N crystal, from OQMD via LeMat-Bulk.

Cell: 5.8644 6.2621 6.4788 Å, 80.90 64.13 63.31°
Last column: nearest neighbours and their distance in Å.
Space group P1 (No. 1)
Asymmetric unit:
1 Cu 0.0000 0.0000 0.0000 (multiplicity 1)  4 S 2.35-2.41
2 Te 0.5004 0.0065 0.0021 (multiplicity 1)  4 S 2.34-2.37
3 H 0.5548 0.5858 0.5314 (multiplicity 1)  1 N 1.03
4 H 0.8019 0.3268 0.5727 (multiplicity 1)  1 N 1.05
5 H 0.8289 0.5908 0.5484 (multiplicity 1)  1 N 1.03
6 H 0.8795 0.4552 0.3128 (multiplicity 1)  1 N 1.06
7 S 0.1194 0.3279 0.9483 (multiplicity 1)  1 H 2.21, 1 Te 2.36, 1 Cu 2.38
8 S 0.3885 0.6833 0.0420 (multiplicity 1)  1 Te 2.34, 1 Cu 2.35
9 S 0.5674 0.0646 0.3153 (multiplicity 1)  1 Te 2.34, 1 Cu 2.36
10 S 0.9261 0.9436 0.6782 (multiplicity 1)  1 H 2.26, 1 Te 2.37, 1 Cu 2.41
11 N 0.7657 0.4903 0.4922 (multiplicity 1)  4 H 1.03-1.06

Results
V = 191.1 Å³/cell
VASP energy = -4.187 eV/atom



Entry 7:
The following is a GGA-PBE calculation of a relaxed NdMg crystal, from OQMD via LeMat-Bulk.

Cell: 7.0878 18.0408 5.4533 Å, 90.00 90.00 90.00°
Last column: nearest neighbours and their distance in Å.
Space group Pbcm (No. 57)
Asymmetric unit:
1 Nd 0.1156 0.0324 0.2500 (multiplicity 4)  7 Nd 3.38-3.70, 5 Mg 3.41-3.58
2 Nd 0.3635 0.5193 0.2500 (multiplicity 4)  7 Nd 3.38-3.70, 5 Mg 3.49-3.61
3 Nd 0.3787 0.1908 0.2500 (multiplicity 4)  4 Nd 3.41-3.59, 8 Mg 3.43-3.60
4 Mg 0.1055 0.1459 0.7500 (multiplicity 4)  4 Mg 3.28-3.33, 7 Nd 3.41-3.58
5 Mg 0.1294 0.6971 0.2500 (multiplicity 4)  8 Mg 3.29-3.35, 4 Nd 3.44-3.61
6 Mg 0.3569 0.6400 0.7500 (multiplicity 4)  4 Mg 3.28-3.35, 7 Nd 3.43-3.58

Results
V = 697.3 Å³/cell
VASP energy = -3.145 eV/atom
Total magnetization = 0.00 μB per formula unit



Entry 8:
The following is a GGA-PBE calculation of a relaxed LuGa2Fe crystal, from OQMD via LeMat-Bulk.

Cell: 6.4712 6.4712 6.4712 Å, 90.00 90.00 90.00°
Last column: nearest neighbours and their distance in Å.
Space group F-43m (No. 216)
Asymmetric unit:
1 Lu 0.0000 0.0000 0.0000 (multiplicity 4)  4 Ga 2.80, 4 Fe 2.80
2 Ga 0.0000 0.0000 0.5000 (multiplicity 4)  4 Fe 2.80, 4 Ga 2.80
3 Ga 0.2500 0.2500 0.7500 (multiplicity 4)  4 Lu 2.80, 4 Ga 2.80
4 Fe 0.2500 0.2500 0.2500 (multiplicity 4)  4 Lu 2.80, 4 Ga 2.80

Results
V = 271.0 Å³/cell
VASP energy = -4.780 eV/atom
Total magnetization = 1.77 μB per formula unit